Entry 1:
Below is an optimized crystal structure of RbAg2Sb2, with properties calculated at the PBE level.

Computed properties:
The total magnetic moment is 0.0 Bohr magnetons per cell. Its relative energy among the computed polymorphs is 0.0 meV/atom. The total energy is -3.17 eV per atom. The calculation puts the uncorrected formation energy at -0.9 eV/f.u. As for the calculated volume: 28.65 Å³ per atom.

abc: 4.9450 4.9450 11.7174
angles: 90.00 90.00 90.00
Space group I4/mmm (No. 139)
Symmetry-distinct sites (fractional):
Rb (0.0000, 0.0000, 0.0000) (multiplicity 2)
Ag (0.0000, 0.5000, 0.2500) (multiplicity 4)
Sb (0.0000, 0.0000, 0.3755) (multiplicity 4)

=====

Entry 2:
Below is an optimized crystal structure of RbAg2Sb2, with properties calculated at the PBE level.

Computed properties:
The total magnetic moment is 0.0 Bohr magnetons per cell. Its relative energy among the computed polymorphs is 128.4 meV/atom. The total energy is -3.04 eV per atom. The calculation puts the uncorrected formation energy at -0.3 eV/f.u. As for the calculated volume: 31.14 Å³ per atom.

abc: 5.2762 5.2762 11.1841
angles: 90.00 90.00 90.00
Space group I4/mmm (No. 139)
Symmetry-distinct sites (fractional):
Rb (0.0000, 0.0000, 0.0000) (multiplicity 2)
Ag (0.0000, 0.0000, 0.3462) (multiplicity 4)
Sb (0.0000, 0.5000, 0.2500) (multiplicity 4)

=====

Entry 3:
Below is an optimized crystal structure of RbAgSb2, with properties calculated at the PBE level.

Computed properties:
The total magnetic moment is 0.0 Bohr magnetons per cell. Its relative energy among the computed polymorphs is 18.0 meV/atom. The total energy is -3.18 eV per atom. The calculation puts the uncorrected formation energy at -0.7 eV/f.u. As for the calculated volume: 36.21 Å³ per atom.

abc: 4.4879 14.4642 8.9243
angles: 90.00 90.00 90.00
Space group Cmcm (No. 63)
Symmetry-distinct sites (fractional):
Rb (0.0000, 0.1666, 0.2500) (multiplicity 4)
Ag (0.0000, 0.0852, 0.7500) (multiplicity 4)
Sb (0.0000, 0.4105, 0.0621) (multiplicity 8)

=====

Entry 4:
Below is an optimized crystal structure of Rb2Ag2Sb, with properties calculated at the PBE level.

Computed properties:
The total magnetic moment is 0.0 Bohr magnetons per cell. Its relative energy among the computed polymorphs is 590.1 meV/atom. The total energy is -1.86 eV per atom. The calculation puts the uncorrected formation energy at 2.5 eV/f.u. As for the calculated volume: 36.20 Å³ per atom.

abc: 5.0553 5.0553 14.1628
angles: 90.00 90.00 90.00
Space group I4/mmm (No. 139)
Symmetry-distinct sites (fractional):
Rb (0.0000, 0.5000, 0.2500) (multiplicity 4)
Ag (0.0000, 0.0000, 0.0914) (multiplicity 4)
Sb (0.0000, 0.0000, 0.5000) (multiplicity 2)

=====

Entry 5:
Below is an optimized crystal structure of RbAg2Sb2, with properties calculated at the PBE level.

Computed properties:
The total magnetic moment is 0.0 Bohr magnetons per cell. Its relative energy among the computed polymorphs is 160.0 meV/atom. The total energy is -3.01 eV per atom. The calculation puts the uncorrected formation energy at -0.1 eV/f.u. As for the calculated volume: 26.45 Å³ per atom.

abc: 9.0363 9.0363 3.2393
angles: 90.00 90.00 90.00
Space group P4/mbm (No. 127)
Symmetry-distinct sites (fractional):
Rb (0.0000, 0.0000, 0.0000) (multiplicity 2)
Ag (0.1290, 0.3710, 0.0000) (multiplicity 4)
Sb (0.1570, 0.6570, 0.5000) (multiplicity 4)

=====

Entry 6:
Below is an optimized crystal structure of Rb3AgSb, with properties calculated at the PBE level.

Computed properties:
The total magnetic moment is 3.1 Bohr magnetons per cell. Its relative energy among the computed polymorphs is 0.0 meV/atom. The total energy is -2.13 eV per atom. The calculation puts the uncorrected formation energy at -0.8 eV/f.u. As for the calculated volume: 47.44 Å³ per atom.

abc: 13.8943 8.4573 8.0749
angles: 90.00 90.00 90.00
Space group Ima2 (No. 46)
Symmetry-distinct sites (fractional):
Rb (0.0075, 0.2489, 0.0000) (multiplicity 8)
Rb (0.2500, 0.5844, 0.7536) (multiplicity 4)
Ag (0.2500, 0.2503, 0.0047) (multiplicity 4)
Sb (0.2500, 0.0310, 0.7548) (multiplicity 4)